Below is a geometry-optimized Na2CdCl4 structure, with properties calculated at the PBEsol level.

Properties
The raw total energy comes out at -3.20 eV per atom.

Cell and atoms, written as extended XYZ:
```
14
Lattice="6.991 0.000 0.000 0.000 11.796 0.000 0.000 0.000 3.920" Properties=species:S:1:pos:R:3 pbc="T T T"
Na 0.622 2.155 0.000
Na 2.873 8.053 0.000
Na 4.118 3.743 0.000
Na 6.368 9.641 0.000
Cd 0.000 5.898 1.960
Cd 3.495 0.000 1.960
Cl 0.882 8.314 1.960
Cl 1.719 5.373 0.000
Cl 1.776 11.271 0.000
Cl 2.614 2.416 1.960
Cl 4.377 9.380 1.960
Cl 5.214 0.525 0.000
Cl 5.271 6.423 0.000
Cl 6.109 3.482 1.960
```


Below is a geometry-optimized RbNaCdCl2 structure, with properties calculated at the PBEsol level.

Properties
The raw total energy comes out at -2.00 eV per atom.

Cell and atoms, written as extended XYZ:
```
5
Lattice="5.581 0.000 0.000 0.000 5.581 0.000 0.000 0.000 6.230" Properties=species:S:1:pos:R:3 pbc="T T T"
Rb 0.000 0.000 0.000
Na 2.790 2.790 0.000
Cd 0.000 0.000 3.115
Cl 0.000 2.790 3.115
Cl 2.790 0.000 3.115
```


Below is a geometry-optimized NaCdS2Cl structure, with properties calculated at the PBEsol level.

Properties
The raw total energy comes out at -2.32 eV per atom.

Cell and atoms, written as extended XYZ:
```
5
Lattice="4.850 0.000 0.000 0.000 4.850 0.000 0.000 0.000 4.871" Properties=species:S:1:pos:R:3 pbc="T T T"
Na 0.000 0.000 0.000
Cd 2.425 2.425 2.435
S 0.000 2.425 0.000
S 2.425 0.000 0.000
Cl 0.000 0.000 2.435
```


Below is a geometry-optimized NaSrCdCl2 structure, with properties calculated at the PBEsol level.

Properties
The raw total energy comes out at -2.64 eV per atom.

Cell and atoms, written as extended XYZ:
```
5
Lattice="5.419 0.000 0.000 0.000 5.419 0.000 0.000 0.000 8.221" Properties=species:S:1:pos:R:3 pbc="T T T"
Na 0.000 0.000 0.000
Sr 0.000 0.000 4.111
Cd 2.710 2.710 0.000
Cl 0.000 2.710 4.111
Cl 2.710 0.000 4.111
```


Below is a geometry-optimized NbCdCl3 structure, with properties calculated at the PBEsol level.

Properties
The raw total energy comes out at -3.38 eV per atom.

Cell and atoms, written as extended XYZ:
```
5
Lattice="5.038 0.000 0.000 0.000 5.038 0.000 0.000 0.000 5.038" Properties=species:S:1:pos:R:3 pbc="T T T"
Nb 0.000 0.000 0.000
Cd 2.519 2.519 2.519
Cl 0.000 2.519 2.519
Cl 2.519 0.000 2.519
Cl 2.519 2.519 0.000
```


Below is a geometry-optimized CdNi2Cl structure, with properties calculated at the PBEsol level.

Properties
Its distance to the lowest polymorph of the same formula is 0.000 eV per atom.

Cell and atoms, written as extended XYZ:
```
4
Lattice="2.935 0.000 0.000 0.000 2.935 0.000 0.000 0.000 6.434" Properties=species:S:1:pos:R:3 pbc="T T T"
Cd 0.000 0.000 0.000
Ni 1.467 1.467 1.755
Ni 1.467 1.467 4.679
Cl 0.000 0.000 3.217
```


It is found that the total moment values, taken in the order of the records, are 0.000, 0.000, 0.230, 0.000, 3.943, 0.272 μB/cell.